Entry 1:
VASP calculation (meta-GGA SCAN) on a PBEsol-optimized structure of Li2YSe.

Properties
spin magnetization = 0.9 Bohr magnetons per cell

a b c (Å): 3.7140 3.7140 5.7694
angles (deg): 90.00 90.00 90.00
Each line ends with the local moment (μB).
Fractional coordinates of all 4 atoms:
Li  0.0000  0.0000  0.1999  0.01
Li  0.0000  0.0000  0.8001  0.01
Y  0.5000  0.5000  0.5000  0.48
Se  0.5000  0.5000  0.0000  -0.02


Entry 2:
VASP calculation (meta-GGA SCAN) on a PBEsol-optimized structure of LiY3Se.

Properties
spin magnetization = 0.7 Bohr magnetons per cell

a b c (Å): 5.3630 5.3630 5.3630
angles (deg): 90.00 90.00 90.00
Each line ends with the local moment (μB).
Fractional coordinates of all 5 atoms:
Se  0.0000  0.0000  0.0000  0.00
Y  0.0000  0.0000  0.5000  -0.13
Y  0.5000  0.0000  0.0000  -0.13
Y  0.0000  0.5000  0.0000  -0.13
Li  0.5000  0.5000  0.5000  0.00


Entry 3:
VASP calculation (meta-GGA SCAN) on a PBEsol-optimized structure of LiZr2Se.

Properties
spin magnetization = 0.0 Bohr magnetons per cell

a b c (Å): 3.6416 3.6416 7.1721
angles (deg): 75.29 75.29 60.00
Fractional coordinates of all 4 atoms:
Se  0.0000  0.0000  0.0000
Zr  0.2559  0.2559  0.2324
Zr  0.7441  0.7441  0.7676
Li  0.5000  0.5000  0.5000


Entry 4:
VASP calculation (meta-GGA SCAN) on a PBEsol-optimized structure of LiZrSe3.

Properties
spin magnetization = 0.0 Bohr magnetons per cell

a b c (Å): 5.1810 5.1810 5.1810
angles (deg): 90.00 90.00 90.00
Fractional coordinates of all 5 atoms:
Se  0.5000  0.0000  0.0000
Se  0.0000  0.5000  0.0000
Se  0.0000  0.0000  0.5000
Li  0.5000  0.5000  0.5000
Zr  0.0000  0.0000  0.0000


Entry 5:
VASP calculation (meta-GGA SCAN) on a PBEsol-optimized structure of Li4Si.

Properties
spin magnetization = 0.0 Bohr magnetons per cell

a b c (Å): 4.5491 4.7898 4.5491
angles (deg): 61.65 90.00 118.35
Fractional coordinates of all 5 atoms:
Li  0.7500  0.5000  0.7500
Li  0.3489  0.6978  0.6511
Li  0.6511  0.3022  0.3489
Li  0.2500  0.5000  0.2500
Si  0.0000  0.0000  0.0000


Entry 6:
VASP calculation (meta-GGA SCAN) on a PBEsol-optimized structure of Li7Si3.

Properties
spin magnetization = 0.0 Bohr magnetons per cell

a b c (Å): 7.5084 7.5084 17.8419
angles (deg): 90.00 90.00 120.00
Fractional coordinates of all 60 atoms:
Si  0.4257  0.2172  0.5661
Si  0.1296  0.5694  0.5656
Si  0.7916  0.2172  0.1006
Si  0.4306  0.8704  0.7677
Si  0.1211  0.8981  0.2322
Si  0.7770  0.8981  0.4345
Si  0.4257  0.2084  0.4339
Si  0.7828  0.2084  0.2327
Si  0.4398  0.5694  0.1010
Si  0.7828  0.5743  0.7673
Si  0.7916  0.5743  0.8994
Si  0.1211  0.2230  0.7678
Si  0.1019  0.8789  0.1012
Si  0.4306  0.5602  0.2323
Si  0.4398  0.8704  0.8990
Si  0.1296  0.5602  0.4344
Si  0.7770  0.8789  0.5655
Si  0.1019  0.2230  0.8988
Li  0.4473  0.8924  0.4841
Li  0.0859  0.2221  0.6263
Li  0.4468  0.2223  0.8647
Li  0.4473  0.5549  0.5159
Li  0.4468  0.2245  0.1353
Li  0.4451  0.8924  0.1825
Li  0.0843  0.5542  0.2934
Li  0.7565  0.5329  0.0447
Li  0.0843  0.5302  0.7066
Li  0.4451  0.5527  0.8175
Li  0.4671  0.2435  0.2887
Li  0.4428  0.8857  0.3333
Li  0.7764  0.5329  0.6220
Li  0.7777  0.8855  0.1505
Li  0.1076  0.5527  0.8492
Li  0.0859  0.8638  0.3737
Li  0.4428  0.5572  0.6667
Li  0.1076  0.5549  0.1508
Li  0.1112  0.8888  0.6667
Li  0.7777  0.2245  0.5314
Li  0.7764  0.2435  0.3780
Li  0.7779  0.8638  0.2930
Li  0.7755  0.5532  0.1981
Li  0.1143  0.5572  0.0000
Li  0.4671  0.2236  0.7113
Li  0.1112  0.2224  0.3333
Li  0.1078  0.2223  0.4838
Li  0.1362  0.2221  0.0403
Li  0.1362  0.9141  0.9597
Li  0.4458  0.9157  0.0399
Li  0.4458  0.5302  0.9601
Li  0.7776  0.8888  0.0000
Li  0.7777  0.5532  0.4686
Li  0.1145  0.8922  0.8172
Li  0.4698  0.5542  0.3732
Li  0.7565  0.2236  0.9553
Li  0.7777  0.8922  0.8495
Li  0.4698  0.9157  0.6268
Li  0.7779  0.9141  0.7070
Li  0.1145  0.2223  0.1828
Li  0.1078  0.8855  0.5162
Li  0.7755  0.2223  0.8019


Entry 7:
VASP calculation (meta-GGA SCAN) on a PBEsol-optimized structure of Li8Si.

Properties
spin magnetization = 0.3 Bohr magnetons per cell

a b c (Å): 4.3570 6.3121 6.3121
angles (deg): 83.16 69.81 69.81
Fractional coordinates of all 9 atoms:
Li  0.6511  0.0000  0.6978
Li  0.3489  0.3022  0.0000
Li  0.0000  0.6844  0.3156
Li  0.0000  0.3156  0.6844
Li  0.3156  0.6844  0.6844
Li  0.3489  0.0000  0.3022
Li  0.6511  0.6978  0.0000
Li  0.6844  0.3156  0.3156
Si  0.0000  0.0000  0.0000


Entry 8:
VASP calculation (meta-GGA SCAN) on a PBEsol-optimized structure of Li3Si.

Properties
spin magnetization = 0.0 Bohr magnetons per cell

a b c (Å): 2.6916 4.1253 5.4369
angles (deg): 90.00 90.00 90.00
Fractional coordinates of all 4 atoms:
Li  0.5000  0.5000  0.2202
Li  0.0000  0.0000  0.5000
Li  0.5000  0.5000  0.7798
Si  0.0000  0.0000  0.0000


Entry 9:
VASP calculation (meta-GGA SCAN) on a PBEsol-optimized structure of Li13Si4.

Properties
spin magnetization = 0.0 Bohr magnetons per cell

a b c (Å): 4.3824 7.8708 14.9699
angles (deg): 90.00 90.00 90.00
Fractional coordinates of all 34 atoms:
Li  0.5000  0.2412  0.4050
Li  0.0000  0.2686  0.6545
Li  0.0000  0.8463  0.0254
Li  0.5000  0.4080  0.7445
Li  0.0000  0.5000  0.0000
Li  0.0000  0.7686  0.8455
Li  0.0000  0.2314  0.1545
Li  0.5000  0.9080  0.7555
Li  0.5000  0.7588  0.5950
Li  0.5000  0.4045  0.1059
Li  0.0000  0.7314  0.3455
Li  0.0000  0.3463  0.4746
Li  0.0000  0.1537  0.9746
Li  0.0000  0.5953  0.6939
Li  0.5000  0.7412  0.0950
Li  0.0000  0.0000  0.5000
Li  0.5000  0.5920  0.2555
Li  0.5000  0.9045  0.3941
Li  0.0000  0.4047  0.3061
Li  0.5000  0.5955  0.8941
Li  0.0000  0.6537  0.5254
Li  0.0000  0.9047  0.1939
Li  0.0000  0.0953  0.8061
Li  0.5000  0.0955  0.6059
Li  0.5000  0.2588  0.9050
Li  0.5000  0.0920  0.2445
Si  0.0000  0.4167  0.8398
Si  0.5000  0.4276  0.5692
Si  0.0000  0.9167  0.6602
Si  0.5000  0.0724  0.0692
Si  0.0000  0.5833  0.1602
Si  0.5000  0.9276  0.9308
Si  0.0000  0.0833  0.3398
Si  0.5000  0.5724  0.4308


Entry 10:
VASP calculation (meta-GGA SCAN) on a PBEsol-optimized structure of Li5Si.

Properties
spin magnetization = 0.0 Bohr magnetons per cell

a b c (Å): 2.8164 5.3753 7.0253
angles (deg): 109.17 90.00 105.19
Fractional coordinates of all 6 atoms:
Li  0.9558  0.9116  0.3808
Li  0.9858  0.9715  0.0053
Li  0.6090  0.2180  0.7673
Li  0.3069  0.6138  0.6712
Li  0.6901  0.3803  0.2896
Si  0.2857  0.5714  0.0525


Entry 11:
VASP calculation (meta-GGA SCAN) on a PBEsol-optimized structure of Li3Si.

Properties
spin magnetization = 0.0 Bohr magnetons per cell

a b c (Å): 3.5353 4.1792 4.7302
angles (deg): 116.22 111.94 90.00
Fractional coordinates of all 4 atoms:
Si  0.0000  0.5000  0.0000
Li  0.2471  0.2471  0.4943
Li  0.7529  0.7529  0.5057
Li  0.5000  0.0000  0.0000


Entry 12:
VASP calculation (meta-GGA SCAN) on a PBEsol-optimized structure of Li5Si.

Properties
spin magnetization = 0.3 Bohr magnetons per cell

a b c (Å): 4.5271 4.5434 5.0195
angles (deg): 63.09 90.00 90.00
Fractional coordinates of all 6 atoms:
Li  0.5000  0.0000  0.0000
Li  0.0000  0.1669  0.6662
Li  0.5000  0.6466  0.7068
Li  0.0000  0.8331  0.3338
Li  0.5000  0.3534  0.2932
Si  0.0000  0.5000  0.0000


Entry 13:
VASP calculation (meta-GGA SCAN) on a PBEsol-optimized structure of Li7Si2.

Properties
spin magnetization = 0.0 Bohr magnetons per cell

a b c (Å): 4.4345 7.9933 14.7908
angles (deg): 90.00 90.00 90.00
Fractional coordinates of all 36 atoms:
Li  0.0000  0.2941  0.6682
Li  0.0000  0.1743  0.5132
Li  0.5000  0.5867  0.2570
Li  0.0000  0.1128  0.8126
Li  0.5000  0.2334  0.8977
Li  0.5000  0.5000  0.0000
Li  0.0000  0.2059  0.1682
Li  0.0000  0.6743  0.9868
Li  0.5000  0.2666  0.3977
Li  0.0000  0.7059  0.3318
Li  0.5000  0.3790  0.1442
Li  0.0000  0.7941  0.8318
Li  0.5000  0.0000  0.5000
Li  0.0000  0.5000  0.5000
Li  0.5000  0.6210  0.8558
Li  0.5000  0.4133  0.7430
Li  0.0000  0.3872  0.3126
Li  0.5000  0.7666  0.1023
Li  0.5000  0.9133  0.7570
Li  0.0000  0.6128  0.6874
Li  0.5000  0.7334  0.6023
Li  0.5000  0.8790  0.3558
Li  0.0000  0.3257  0.0132
Li  0.0000  0.8257  0.4868
Li  0.5000  0.1210  0.6442
Li  0.0000  0.0000  0.0000
Li  0.5000  0.0867  0.2430
Li  0.0000  0.8872  0.1874
Si  0.5000  0.8997  0.9355
Si  0.5000  0.1003  0.0645
Si  0.0000  0.0584  0.3468
Si  0.5000  0.6003  0.4355
Si  0.0000  0.4416  0.8468
Si  0.0000  0.5584  0.1532
Si  0.0000  0.9416  0.6532
Si  0.5000  0.3997  0.5645


Entry 14:
VASP calculation (meta-GGA SCAN) on a PBEsol-optimized structure of Li2Sm2Si3.

Properties
spin magnetization = 0.0 Bohr magnetons per cell

a b c (Å): 4.3033 6.6852 9.3222
angles (deg): 90.00 103.34 90.00
Fractional coordinates of all 14 atoms:
Sm  0.5514  0.2500  0.1028
Sm  0.3425  0.2500  0.6851
Sm  0.6575  0.7500  0.3149
Sm  0.4486  0.7500  0.8972
Li  0.8109  0.5607  0.6219
Li  0.1891  0.0607  0.3781
Li  0.8109  0.9393  0.6219
Li  0.1891  0.4393  0.3781
Si  0.9411  0.0729  0.8822
Si  0.7199  0.2500  0.4398
Si  0.9411  0.4271  0.8822
Si  0.2801  0.7500  0.5602
Si  0.0589  0.9271  0.1178
Si  0.0589  0.5729  0.1178


Entry 15:
VASP calculation (meta-GGA SCAN) on a PBEsol-optimized structure of Li3SiSn.

Properties
spin magnetization = 0.0 Bohr magnetons per cell

a b c (Å): 4.6809 4.6809 4.6809
angles (deg): 90.00 90.00 90.00
Fractional coordinates of all 5 atoms:
Si  0.0000  0.0000  0.0000
Li  0.0000  0.5000  0.0000
Li  0.0000  0.0000  0.5000
Li  0.5000  0.0000  0.0000
Sn  0.5000  0.5000  0.5000


Entry 16:
VASP calculation (meta-GGA SCAN) on a PBEsol-optimized structure of Li2Si2Sn.

Properties
spin magnetization = 0.0 Bohr magnetons per cell

a b c (Å): 2.8620 7.6423 7.6423
angles (deg): 90.00 90.00 90.00
Fractional coordinates of all 10 atoms:
Si  0.0000  0.3908  0.8908
Si  0.0000  0.6092  0.1092
Si  0.0000  0.1092  0.3908
Si  0.0000  0.8908  0.6092
Sn  0.0000  0.0000  0.0000
Sn  0.0000  0.5000  0.5000
Li  0.5000  0.3134  0.1866
Li  0.5000  0.1866  0.6866
Li  0.5000  0.8134  0.3134
Li  0.5000  0.6866  0.8134


Entry 17:
VASP calculation (meta-GGA SCAN) on a PBEsol-optimized structure of SrLi4Si.

Properties
spin magnetization = 0.0 Bohr magnetons per cell

a b c (Å): 5.4489 5.4489 5.4489
angles (deg): 60.00 60.00 60.00
Fractional coordinates of all 6 atoms:
Li  0.8695  0.3768  0.3768
Li  0.3768  0.8695  0.3768
Li  0.3768  0.3768  0.8695
Li  0.3768  0.3768  0.3768
Si  0.7500  0.7500  0.7500
Sr  0.0000  0.0000  0.0000


Entry 18:
VASP calculation (meta-GGA SCAN) on a PBEsol-optimized structure of SrLi2Si2.

Properties
spin magnetization = 0.0 Bohr magnetons per cell

a b c (Å): 4.3055 4.3055 6.3174
angles (deg): 109.92 109.92 90.00
Fractional coordinates of all 5 atoms:
Si  0.6034  0.6034  0.2068
Si  0.3966  0.3966  0.7932
Sr  0.0000  0.0000  0.0000
Li  0.2500  0.7500  0.5000
Li  0.7500  0.2500  0.5000


Entry 19:
VASP calculation (meta-GGA SCAN) on a PBEsol-optimized structure of SrLi3Si.

Properties
spin magnetization = 0.0 Bohr magnetons per cell

a b c (Å): 4.8580 4.8580 4.8580
angles (deg): 90.00 90.00 90.00
Fractional coordinates of all 5 atoms:
Li  0.0000  0.0000  0.5000
Li  0.0000  0.5000  0.0000
Li  0.5000  0.0000  0.0000
Sr  0.5000  0.5000  0.5000
Si  0.0000  0.0000  0.0000


Entry 20:
VASP calculation (meta-GGA SCAN) on a PBEsol-optimized structure of LiTaSi3.

Properties
spin magnetization = 0.0 Bohr magnetons per cell

a b c (Å): 4.8537 4.8537 4.8537
angles (deg): 90.00 90.00 90.00
Fractional coordinates of all 5 atoms:
Li  0.5000  0.5000  0.5000
Si  0.5000  0.0000  0.0000
Si  0.0000  0.0000  0.5000
Si  0.0000  0.5000  0.0000
Ta  0.0000  0.0000  0.0000


Entry 21:
VASP calculation (meta-GGA SCAN) on a PBEsol-optimized structure of LiTa3Si.

Properties
spin magnetization = 0.0 Bohr magnetons per cell

a b c (Å): 4.6509 4.6509 4.6509
angles (deg): 90.00 90.00 90.00
Fractional coordinates of all 5 atoms:
Li  0.5000  0.5000  0.5000
Ta  0.5000  0.0000  0.0000
Ta  0.0000  0.0000  0.5000
Ta  0.0000  0.5000  0.0000
Si  0.0000  0.0000  0.0000


| no. | DFT total energy (eV/atom) | formation energy without anion corrections (meV per atom) | V (Å³/cell) |
| --- | --- | --- | --- |
| 1 | -13.881 | -705.5 | 79.6 |
| 2 | -21.656 | -456.5 | 154.2 |
| 3 | -21.354 | -387.1 | 78.8 |
| 4 | -19.597 | -932.6 | 139.1 |
| 5 | -3.885 | 29.8 | 73.4 |
| 6 | -4.942 | -264.8 | 871.1 |
| 7 | -3.320 | -83.1 | 152.9 |
| 8 | -4.397 | -100.8 | 60.4 |
| 9 | -4.443 | -259.3 | 516.4 |
| 10 | -3.760 | -99.6 | 96.5 |
| 11 | -4.494 | -198.0 | 57.0 |
| 12 | -3.811 | -150.4 | 92.1 |
| 13 | -4.304 | -219.5 | 524.3 |
| 14 | -18.322 | -648.9 | 260.9 |
| 15 | -10.465 | 156.6 | 102.6 |
| 16 | -12.145 | 1.3 | 167.2 |
| 17 | -7.004 | -28.5 | 114.4 |
| 18 | -9.741 | -323.7 | 102.6 |
| 19 | -8.019 | -126.9 | 114.6 |
| 20 | -19.342 | 462.6 | 114.3 |
| 21 | -41.431 | 1000.2 | 100.6 |